# 1
Material: CsCa3Ru
Method: DFT, meta-GGA SCAN
State: PBEsol geometry

Unit cell a=5.542 b=5.542 c=5.542 alpha=90.00 beta=90.00 gamma=90.00
Space group Pm-3m (No. 221)
Asymmetric unit:
1 Cs 0.000 0.000 0.000 x1
2 Ca 0.000 0.000 0.500 x3
3 Ru 0.500 0.500 0.500 x1

Properties
ΔE_f = 1.812 eV per atom

---

# 2
Material: CsCaRu3
Method: DFT, meta-GGA SCAN
State: PBEsol geometry

Unit cell a=4.845 b=4.845 c=4.845 alpha=90.00 beta=90.00 gamma=90.00
Space group Pm-3m (No. 221)
Asymmetric unit:
1 Cs 0.000 0.000 0.000 x1
2 Ca 0.500 0.500 0.500 x1
3 Ru 0.000 0.000 0.500 x3

Properties
ΔE_f = 2.303 eV per atom

---

# 3
Material: Cs3CaRu
Method: DFT, meta-GGA SCAN
State: PBEsol geometry

Unit cell a=6.003 b=6.003 c=6.003 alpha=90.00 beta=90.00 gamma=90.00
Space group Pm-3m (No. 221)
Asymmetric unit:
1 Cs 0.000 0.000 0.500 x3
2 Ca 0.500 0.500 0.500 x1
3 Ru 0.000 0.000 0.000 x1

Properties
ΔE_f = 1.125 eV per atom

---

# 4
Material: CsCa2TiS
Method: DFT, meta-GGA SCAN
State: PBEsol geometry

Unit cell a=5.703 b=5.703 c=5.874 alpha=90.00 beta=90.00 gamma=90.00
Space group P4/mmm (No. 123)
Asymmetric unit:
1 Cs 0.000 0.000 0.000 x1
2 Ca 0.000 0.500 0.500 x2
3 Ti 0.000 0.000 0.500 x1
4 S 0.500 0.500 0.000 x1

Properties
formation energy without anion corrections = 0.653 eV per atom

---

# 5
Material: CsCa3Sb
Method: DFT, meta-GGA SCAN
State: PBEsol geometry

Unit cell a=5.596 b=5.596 c=5.596 alpha=90.00 beta=90.00 gamma=90.00
Space group Pm-3m (No. 221)
Asymmetric unit:
1 Cs 0.000 0.000 0.000 x1
2 Ca 0.000 0.000 0.500 x3
3 Sb 0.500 0.500 0.500 x1

Properties
formation energy without anion corrections = 0.974 eV per atom

---

# 6
Material: CsCaSb2Te
Method: DFT, meta-GGA SCAN
State: PBEsol geometry

Unit cell a=5.796 b=5.796 c=5.843 alpha=90.00 beta=90.00 gamma=90.00
Space group P4/mmm (No. 123)
Asymmetric unit:
1 Cs 0.000 0.000 0.000 x1
2 Ca 0.500 0.500 0.500 x1
3 Sb 0.000 0.500 0.500 x2
4 Te 0.500 0.500 0.000 x1

Properties
formation energy without anion corrections = -0.168 eV per atom

---

# 7
Material: CsCaSbTe2
Method: DFT, meta-GGA SCAN
State: PBEsol geometry

Unit cell a=5.874 b=5.874 c=5.783 alpha=90.00 beta=90.00 gamma=90.00
Space group P4/mmm (No. 123)
Asymmetric unit:
1 Cs 0.000 0.000 0.000 x1
2 Ca 0.500 0.500 0.500 x1
3 Sb 0.500 0.500 0.000 x1
4 Te 0.000 0.500 0.500 x2

Properties
formation energy without anion corrections = -0.421 eV per atom

---

# 8
Material: CsCa2Si2
Method: DFT, meta-GGA SCAN
State: PBEsol geometry

Unit cell a=5.382 b=5.382 c=10.475 alpha=90.00 beta=90.00 gamma=90.00
Space group I4/mmm (No. 139)
Asymmetric unit:
1 Cs 0.000 0.000 0.000 x2
2 Ca 0.000 0.500 0.250 x4
3 Si 0.000 0.000 0.388 x4

Properties
formation energy without anion corrections = -0.138 eV per atom

---

Number 1: ρ 3.456 g/cm3, DOS at the Fermi energy 6.58 states/eV/f.u.. Number 2: ρ 6.953 g/cm3, DOS at the Fermi energy 3.91 states/eV/f.u.. Number 3: ρ 4.145 g/cm3, DOS at the Fermi energy 4.96 states/eV/f.u.. Number 4: ρ 2.547 g/cm3, DOS at the Fermi energy 2.85 states/eV/f.u.. Number 5: ρ 3.552 g/cm3, DOS at the Fermi energy 4.27 states/eV/f.u.. Number 6: ρ 4.603 g/cm3, DOS at the Fermi energy 4.28 states/eV/f.u.. Number 7: ρ 4.576 g/cm3, DOS at the Fermi energy 4.87 states/eV/f.u.. Number 8: ρ 2.947 g/cm3, DOS at the Fermi energy 4.79 states/eV/f.u..